(1)
La3TlO: optimized geometry, GGA-PBE.

The energy relative to the elements, uncorrected is -28.98 kcal/mol of atoms. The calculated total energy comes out at -5.68 eV per atom.

The space group is P1 (No. 1) and the conventional cell measures 6.9113, 6.9751 and 7.0278 Å, with angles of 84.37, 84.43 and 64.68 degrees. The distinct sites, in fractional coordinates, are La at (0.0000, 0.0000, 0.0000), La at (0.0623, 0.0180, 0.4881), La at (0.1719, 0.4539, 0.2011), La at (0.4899, 0.0914, 0.7652), La at (0.5821, 0.5446, 0.2846), La at (0.9325, 0.5533, 0.7134), Tl at (0.4424, 0.5762, 0.8020), Tl at (0.5900, 0.0075, 0.2882), O at (0.1233, 0.1768, 0.7473) and O at (0.8715, 0.9180, 0.7385).


(2)
La3TlO: optimized geometry, GGA-PBE.

The energy relative to the elements, uncorrected is -15.28 kcal/mol of atoms. The calculated total energy comes out at -5.08 eV per atom.

The space group is P4mm (No. 99) and the conventional cell measures 4.8522, 4.8522 and 8.5228 Å, with angles of 90.00, 90.00 and 90.00 degrees. The distinct sites, in fractional coordinates, are La at (0.0000, 0.0000, 0.0000), La at (0.0000, 0.5000, 0.6418), Tl at (0.0000, 0.0000, 0.3697) and O at (0.5000, 0.5000, 0.6366).


(3)
La2TlO2: optimized geometry, GGA-PBE.

The energy relative to the elements, uncorrected is -38.70 kcal/mol of atoms. The calculated total energy comes out at -6.11 eV per atom.

The space group is P4/mbm (No. 127) and the conventional cell measures 7.5952, 7.5952 and 3.2976 Å, with angles of 90.00, 90.00 and 90.00 degrees. The distinct sites, in fractional coordinates, are La at (0.1551, 0.3449, 0.0000), Tl at (0.0000, 0.0000, 0.5000) and O at (0.1271, 0.6271, 0.5000).


(4)
LaU3Tl4O12: optimized geometry, GGA-PBE.

The energy relative to the elements, uncorrected is -58.00 kcal/mol of atoms. The calculated total energy comes out at -7.90 eV per atom.

The space group is Im-3m (No. 229) and the conventional cell measures 8.8155, 8.8155 and 8.8155 Å, with angles of 90.00, 90.00 and 90.00 degrees. The distinct sites, in fractional coordinates, are La at (0.0000, 0.0000, 0.0000), U at (0.0000, 0.0000, 0.5000), Tl at (0.2500, 0.2500, 0.2500), O at (0.0000, 0.0000, 0.2723) and O at (0.0000, 0.2500, 0.5000).